This record from Alexandria describes MgRu2 after structural relaxation. The functional is GGA-PBEsol.

Results
As for the total DFT energy (no corrections): -7.0707 eV per atom. The value obtained for the density is 8.508 Mg/m³.

a b c (Å): 2.6951 4.3514 4.3514
angles (deg): 120.00 90.00 90.00
Atoms (fractional coordinates):
Mg 0.0000 0.0000 0.0000
Ru 0.5000 0.6667 0.3333
Ru 0.5000 0.3333 0.6667

=====

This record from Alexandria describes Li2CaZn after structural relaxation. The functional is GGA-PBEsol.

Results
As for the total DFT energy (no corrections): -1.9609 eV per atom. The value obtained for the density is 2.217 Mg/m³.

a b c (Å): 4.6244 4.5532 5.6071
angles (deg): 114.24 90.00 120.52
Atoms (fractional coordinates):
Zn 0.4567 0.9134 0.3708
Ca 0.2462 0.4924 0.7365
Li 0.0362 0.0724 0.1098
Li 0.7608 0.5217 0.2829

=====

This record from Alexandria describes CsTmS2 after structural relaxation. The functional is GGA-PBEsol.

Results
As for the formation energy (no corrections): -1.8749 eV/atom. The value obtained for the density is 5.600 Mg/m³. The value obtained for the energy above the most stable polymorph in this dataset is 3 meV per atom.

a b c (Å): 3.9775 3.9775 8.2474
angles (deg): 76.05 76.05 60.00
Atoms (fractional coordinates):
Cs 0.0000 0.0000 0.0000
S 0.7728 0.7728 0.6815
S 0.2272 0.2272 0.3185
Tm 0.5000 0.5000 0.5000

=====

This record from Alexandria describes CaInSe2 after structural relaxation. The functional is GGA-PBEsol.

Results
As for the formation energy (no corrections): -0.9472 eV/atom. The value obtained for the density is 3.839 Mg/m³.

a b c (Å): 6.2586 6.2586 8.2041
angles (deg): 112.42 112.42 90.00
Atoms (fractional coordinates):
Ca 0.7500 0.2500 0.5000
Ca 0.5000 0.5000 0.0000
Se 0.3635 0.8750 0.2500
Se 0.8865 0.3750 0.2500
Se 0.1250 0.1135 0.7500
Se 0.6250 0.6365 0.7500
In 0.2500 0.7500 0.5000
In 0.0000 0.0000 0.0000

=====

This record from Alexandria describes Cd2AgPb after structural relaxation. The functional is GGA-PBEsol.

Results
As for the total DFT energy (no corrections): -2.3764 eV per atom. The value obtained for the density is 10.229 Mg/m³.

a b c (Å): 3.2778 3.2778 8.1580
angles (deg): 90.00 90.00 90.00
Atoms (fractional coordinates):
Pb 0.0000 0.0000 0.5193
Ag 0.5000 0.5000 0.7756
Cd 0.0000 0.0000 0.9837
Cd 0.5000 0.5000 0.2214

=====

This record from Alexandria describes La2CBr after structural relaxation. The functional is GGA-PBEsol.

Results
As for the formation energy (no corrections): -0.2875 eV/atom. The value obtained for the density is 7.369 Mg/m³.

a b c (Å): 4.9025 4.9025 4.9025
angles (deg): 60.00 60.00 60.00
Atoms (fractional coordinates):
C 0.0000 0.0000 0.0000
Br 0.5000 0.5000 0.5000
La 0.2500 0.2500 0.2500
La 0.7500 0.7500 0.7500

=====

Question: density of number 1 (MgRu2)?
Answer: 8.508 Mg/m³

=====

Question: What is the formula in the fourth record?
Answer: CaInSe2

=====

Question: Which formula does entry 6 have?
Answer: La2CBr